This record from Alexandria via LeMat-Bulk describes an optimized crystal structure of Rb2Re2Pd. The functional is PBE.

The structure belongs to space group P4/mbm (No. 127); the cell edges are 10.529, 10.529 and 2.793 Å and the angles 90.00°, 90.00° and 90.00°. The asymmetric unit holds Rb at (0.210, 0.290, 0.000), Re at (0.074, 0.574, 0.500) and Pd at (0.000, 0.000, 0.000).

Its offset from the most stable computed form is 668 meV/atom. Its electronic total energy is -4.82 eV/atom.


This record from Alexandria via LeMat-Bulk describes an optimized crystal structure of RbRePdS2. The functional is PBE.

The structure belongs to space group P4/mmm (No. 123); the cell edges are 4.524, 4.524 and 6.815 Å and the angles 90.00°, 90.00° and 90.00°. The asymmetric unit holds Rb at (0.000, 0.000, 0.000), Re at (0.000, 0.000, 0.500), Pd at (0.500, 0.500, 0.000) and S at (0.000, 0.500, 0.500).

The formation energy without anion corrections is 0.561 eV per atom. Its electronic total energy is -4.81 eV/atom.


This record from Alexandria via LeMat-Bulk describes an optimized crystal structure of RbRePdW2. The functional is PBE.

The structure belongs to space group P4/mmm (No. 123); the cell edges are 4.633, 4.633 and 4.617 Å and the angles 90.00°, 90.00° and 90.00°. The asymmetric unit holds Rb at (0.000, 0.000, 0.000), Re at (0.000, 0.000, 0.500), Pd at (0.500, 0.500, 0.500) and W at (0.000, 0.500, 0.000).

Its electronic total energy is -5.03 eV/atom.


This record from Alexandria via LeMat-Bulk describes an optimized crystal structure of RbZnRe2Pd. The functional is PBE.

The structure belongs to space group P4/mmm (No. 123); the cell edges are 4.742, 4.742 and 4.966 Å and the angles 90.00°, 90.00° and 90.00°. The asymmetric unit holds Rb at (0.000, 0.000, 0.000), Zn at (0.000, 0.000, 0.500), Re at (0.000, 0.500, 0.000) and Pd at (0.500, 0.500, 0.500).

Its electronic total energy is -2.97 eV/atom.


This record from Alexandria via LeMat-Bulk describes an optimized crystal structure of RbPdRh3. The functional is PBE.

The structure belongs to space group Pm-3m (No. 221); the cell edges are 4.928, 4.928 and 4.928 Å and the angles 90.00°, 90.00° and 90.00°. The asymmetric unit holds Rb at (0.000, 0.000, 0.000), Pd at (0.500, 0.500, 0.500) and Rh at (0.000, 0.500, 0.500).

Its offset from the most stable computed form is 0 meV/atom. Its electronic total energy is -4.40 eV/atom.


This record from Alexandria via LeMat-Bulk describes an optimized crystal structure of Rb2PdRh. The functional is PBE.

The structure belongs to space group Fm-3m (No. 225); the cell edges are 7.684, 7.684 and 7.684 Å and the angles 90.00°, 90.00° and 90.00°. The asymmetric unit holds Rb at (0.250, 0.250, 0.250), Pd at (0.000, 0.000, 0.000) and Rh at (0.000, 0.000, 0.500).

Its offset from the most stable computed form is 295 meV/atom. Its electronic total energy is -2.72 eV/atom.


This record from Alexandria via LeMat-Bulk describes an optimized crystal structure of RbPd2Rh. The functional is PBE.

The structure belongs to space group I4_1/amd (No. 141, origin choice 2); the cell edges are 5.385, 5.385 and 16.609 Å and the angles 90.00°, 90.00° and 90.00°. The asymmetric unit holds Rb at (0.000, 0.250, 0.375), Pd at (0.000, 0.000, 0.000) and Rh at (0.000, 0.250, 0.875).

Its offset from the most stable computed form is 0 meV/atom. Its electronic total energy is -4.09 eV/atom.


This record from Alexandria via LeMat-Bulk describes an optimized crystal structure of RbPd2Rh2. The functional is PBE.

The structure belongs to space group P4/mbm (No. 127); the cell edges are 8.163, 8.163 and 2.781 Å and the angles 90.00°, 90.00° and 90.00°. The asymmetric unit holds Rb at (0.000, 0.000, 0.000), Pd at (0.181, 0.319, 0.500) and Rh at (0.112, 0.612, 0.000).

Its electronic total energy is -4.85 eV/atom.


This record from Alexandria via LeMat-Bulk describes an optimized crystal structure of RbPdRh3. The functional is PBE.

The structure belongs to space group Pm-3m (No. 221); the cell edges are 4.783, 4.783 and 4.783 Å and the angles 90.00°, 90.00° and 90.00°. The asymmetric unit holds Rb at (0.000, 0.000, 0.000), Pd at (0.500, 0.500, 0.500) and Rh at (0.000, 0.000, 0.500).

Its offset from the most stable computed form is 1148 meV/atom. Its electronic total energy is -3.26 eV/atom.


This record from Alexandria via LeMat-Bulk describes an optimized crystal structure of Rb2PdRh. The functional is PBE.

The structure belongs to space group I-42d (No. 122); the cell edges are 12.459, 12.459 and 4.840 Å and the angles 90.00°, 90.00° and 90.00°. The asymmetric unit holds Rb at (0.062, 0.250, 0.125), Pd at (0.000, 0.000, 0.000) and Rh at (0.000, 0.000, 0.500).

Its offset from the most stable computed form is 0 meV/atom. Its electronic total energy is -3.02 eV/atom.


This record from Alexandria via LeMat-Bulk describes an optimized crystal structure of RbPd2Rh. The functional is PBE.

The structure belongs to space group Fm-3m (No. 225); the cell edges are 6.781, 6.781 and 6.781 Å and the angles 90.00°, 90.00° and 90.00°. The asymmetric unit holds Rb at (0.000, 0.000, 0.000), Pd at (0.250, 0.250, 0.250) and Rh at (0.000, 0.000, 0.500).

Its offset from the most stable computed form is 158 meV/atom. Its electronic total energy is -3.93 eV/atom.


This record from Alexandria via LeMat-Bulk describes an optimized crystal structure of Rb2PdRhS4. The functional is PBE.

The structure belongs to space group Fddd (No. 70, origin choice 2); the cell edges are 5.699, 13.709 and 22.612 Å and the angles 90.00°, 90.00° and 90.00°. The asymmetric unit holds Rb at (0.125, 0.125, 0.307), Pd at (0.125, 0.125, 0.125), Rh at (0.125, 0.125, 0.625) and S at (0.109, 0.281, 0.818).

The formation energy without anion corrections is -0.557 eV per atom. Its electronic total energy is -4.43 eV/atom.


This record from Alexandria via LeMat-Bulk describes an optimized crystal structure of Rb2PdRhSe4. The functional is PBE.

The structure belongs to space group Fddd (No. 70, origin choice 2); the cell edges are 5.930, 14.010 and 23.309 Å and the angles 90.00°, 90.00° and 90.00°. The asymmetric unit holds Rb at (0.125, 0.125, 0.309), Pd at (0.125, 0.125, 0.625), Rh at (0.125, 0.125, 0.125) and Se at (0.113, 0.277, 0.434).

The formation energy without anion corrections is -0.570 eV per atom. Its electronic total energy is -4.12 eV/atom.


This record from Alexandria via LeMat-Bulk describes an optimized crystal structure of RbPdRhSe3. The functional is PBE.

The structure belongs to space group P2_1/m (No. 11); the cell edges are 8.529, 3.909 and 9.817 Å and the angles 90.00°, 110.20° and 90.00°. The asymmetric unit holds Rb at (0.222, 0.250, 0.257), Pd at (0.092, 0.250, 0.586), Rh at (0.331, 0.750, 0.855), Se at (0.142, 0.250, 0.861), Se at (0.265, 0.750, 0.583) and Se at (0.472, 0.750, 0.126).

The formation energy without anion corrections is -0.513 eV per atom. Its electronic total energy is -4.51 eV/atom.


This record from Alexandria via LeMat-Bulk describes an optimized crystal structure of RbSiPdRh2. The functional is PBE.

The structure belongs to space group P4/mmm (No. 123); the cell edges are 4.844, 4.844 and 4.982 Å and the angles 90.00°, 90.00° and 90.00°. The asymmetric unit holds Rb at (0.000, 0.000, 0.000), Si at (0.500, 0.500, 0.500), Pd at (0.000, 0.000, 0.500) and Rh at (0.000, 0.500, 0.000).

The formation energy without anion corrections is 2.178 eV per atom. Its electronic total energy is -3.08 eV/atom.


This record from Alexandria via LeMat-Bulk describes an optimized crystal structure of RbSn2PdRh. The functional is PBE.

The structure belongs to space group P4/mmm (No. 123); the cell edges are 5.017, 5.017 and 5.554 Å and the angles 90.00°, 90.00° and 90.00°. The asymmetric unit holds Rb at (0.000, 0.000, 0.000), Sn at (0.000, 0.500, 0.500), Pd at (0.500, 0.500, 0.000) and Rh at (0.500, 0.500, 0.500).

Its electronic total energy is -4.24 eV/atom.


This record from Alexandria via LeMat-Bulk describes an optimized crystal structure of RbSnPd2Rh. The functional is PBE.

The structure belongs to space group P4/mmm (No. 123); the cell edges are 5.063, 5.063 and 5.123 Å and the angles 90.00°, 90.00° and 90.00°. The asymmetric unit holds Rb at (0.000, 0.000, 0.000), Sn at (0.500, 0.500, 0.000), Pd at (0.000, 0.500, 0.500) and Rh at (0.000, 0.000, 0.500).

Its electronic total energy is -3.62 eV/atom.


This record from Alexandria via LeMat-Bulk describes an optimized crystal structure of Rb2TePdRh. The functional is PBE.

The structure belongs to space group P4/mmm (No. 123); the cell edges are 6.400, 6.400 and 5.005 Å and the angles 90.00°, 90.00° and 90.00°. The asymmetric unit holds Rb at (0.000, 0.500, 0.000), Te at (0.000, 0.000, 0.500), Pd at (0.000, 0.000, 0.000) and Rh at (0.500, 0.500, 0.500).

The formation energy without anion corrections is 0.429 eV per atom. Its electronic total energy is -3.10 eV/atom.


This record from Alexandria via LeMat-Bulk describes an optimized crystal structure of RbTe6PdRh. The functional is PBE.

The structure belongs to space group Imma (No. 74); the cell edges are 9.098, 9.645 and 13.298 Å and the angles 90.00°, 90.00° and 90.00°. The asymmetric unit holds Rb at (0.000, 0.250, 0.132), Te at (0.000, 0.250, 0.404), Te at (0.000, 0.250, 0.858), Te at (0.231, 0.027, 0.630), Pd at (0.000, 0.000, 0.500) and Rh at (0.250, 0.250, 0.750).

The formation energy without anion corrections is -0.286 eV per atom. Its electronic total energy is -3.88 eV/atom.


This record from Alexandria via LeMat-Bulk describes an optimized crystal structure of RbTe3PdRh. The functional is PBE.

The structure belongs to space group P2_1/m (No. 11); the cell edges are 8.999, 4.053 and 10.668 Å and the angles 90.00°, 114.91° and 90.00°. The asymmetric unit holds Rb at (0.249, 0.250, 0.285), Te at (0.129, 0.250, 0.882), Te at (0.239, 0.750, 0.575), Te at (0.476, 0.750, 0.126), Pd at (0.072, 0.250, 0.620) and Rh at (0.314, 0.750, 0.849).

The formation energy without anion corrections is -0.490 eV per atom. Its electronic total energy is -4.31 eV/atom.